A plane-wave DFT calculation with PBE was carried out for crystalline Th4Zn5Pt6 at its relaxed geometry.

Output
Final energy ... -170.5 eV/cell
Space group ... Cmc2_1
Total magnetic moment ... 0.00 μB per cell
Energy relative to the elements ... -0.865 eV per atom

The structure in extended XYZ format:
```
30
Lattice="4.031 0.000 0.000 -2.016 10.224 0.000 0.000 0.000 15.448" Properties=species:S:1:pos:R:3 pbc="T T T"
Zn 2.016 2.761 7.465
Zn 0.000 9.033 10.429
Zn 0.000 6.942 4.144
Zn 0.000 6.157 9.483
Zn 2.016 3.281 11.869
Zn 0.000 3.231 9.764
Zn 0.000 7.463 15.189
Zn 2.016 4.067 1.759
Zn 2.016 1.190 2.704
Zn 2.016 6.993 2.040
Pt 2.016 1.660 14.104
Pt 2.016 7.817 9.411
Pt 0.000 9.082 13.146
Pt 0.000 2.407 1.687
Pt 2.016 1.472 9.778
Pt 0.000 4.922 11.758
Pt 2.016 5.837 15.211
Pt 2.016 5.302 4.034
Pt 0.000 4.387 7.487
Pt 0.000 8.752 2.054
Pt 2.016 1.142 5.421
Pt 0.000 8.564 6.380
Th 2.016 10.078 0.234
Th 2.016 9.456 4.221
Th 2.016 6.344 6.802
Th 0.000 3.880 14.526
Th 0.000 0.768 11.945
Th 0.000 0.146 7.958
Th 2.016 6.979 12.398
Th 0.000 3.245 4.674
```

***

A plane-wave DFT calculation with PBE was carried out for crystalline Th2Zn16Pt at its relaxed geometry.

Output
Final energy ... -46.7 eV/cell
Space group ... R3m
Total magnetic moment ... 0.00 μB per cell
Energy relative to the elements ... -0.288 eV per atom

The structure in extended XYZ format:
```
19
Lattice="-3.463 2.513 5.344 -6.277 -1.620 -2.200 -0.636 -5.875 3.456" Properties=species:S:1:pos:R:3 pbc="T T T"
Zn -8.916 -1.518 2.596
Zn -7.717 -5.076 1.795
Zn -6.095 -6.299 3.422
Zn -1.034 -0.496 0.658
Zn -8.107 -0.330 4.765
Zn -7.239 -4.171 7.694
Zn -3.972 -4.621 4.013
Zn -6.438 -0.354 2.595
Zn -4.902 -4.546 6.621
Zn -6.721 -2.548 1.256
Zn -5.715 -2.134 7.164
Zn -5.048 -4.476 1.667
Zn -8.643 -6.234 3.930
Zn -3.666 -2.445 5.375
Zn -10.054 -2.048 4.872
Zn -5.349 -0.533 4.933
Th -3.518 -1.689 2.238
Th -6.909 -3.318 4.395
Pt -9.282 -4.457 5.903
```

***

A plane-wave DFT calculation with PBE was carried out for crystalline Th2Zn3Pt at its relaxed geometry.

Output
Final energy ... -56.3 eV/cell
Space group ... Fmmm
Total magnetic moment ... 0.00 μB per cell
Energy relative to the elements ... -0.572 eV per atom

The structure in extended XYZ format:
```
12
Lattice="5.701 0.847 0.000 0.494 5.742 0.000 -3.098 -3.295 7.926" Properties=species:S:1:pos:R:3 pbc="T T T"
Th 4.316 2.149 0.000
Th 2.850 0.424 3.963
Th 1.879 4.440 0.000
Th 0.247 2.871 3.963
Zn 3.098 3.295 5.361
Zn 1.580 1.681 6.628
Zn -1.580 -1.681 6.628
Zn 0.000 0.000 2.565
Zn 4.678 4.975 1.298
Zn 1.518 1.614 1.298
Pt 3.098 3.295 2.702
Pt 0.000 0.000 5.223
```

***

A plane-wave DFT calculation with PBE was carried out for crystalline ThZn5Pt3 at its relaxed geometry.

Output
Final energy ... -74.4 eV/cell
Space group ... Cmcm
Total magnetic moment ... 0.00 μB per cell
Energy relative to the elements ... -0.585 eV per atom

The structure in extended XYZ format:
```
18
Lattice="-0.869 -3.045 2.391 -2.129 -1.861 -6.436 10.930 -4.857 -2.211" Properties=species:S:1:pos:R:3 pbc="T T T"
Pt 3.623 -4.347 -0.927
Pt 4.309 -5.415 -5.329
Pt -0.186 -2.655 -0.156
Pt 7.411 -4.681 -3.267
Pt 0.521 -5.081 -2.989
Pt 8.118 -7.107 -6.100
Th 6.090 -7.373 -3.883
Th 1.842 -2.389 -2.373
Zn 6.240 -5.113 -0.950
Zn -1.521 -3.784 -2.080
Zn 8.578 -6.151 -1.423
Zn -0.645 -3.611 -4.833
Zn 1.692 -4.649 -5.306
Zn 9.453 -5.978 -4.177
Zn 5.465 -2.428 -1.106
Zn 4.927 -3.967 -3.261
Zn 3.005 -5.795 -2.995
Zn 0.000 0.000 0.000
```